NaTlAuI3 | GGA-PBE | optimized geometry

The space group is C2/m (No. 12) and the conventional cell measures 19.218, 8.303 and 6.889 Å, with angles of 90.00, 93.26 and 90.00 degrees. The inequivalent atoms are Na at (0.056, 0.000, 0.206), Tl at (0.230, 0.000, 0.747), Au at (0.000, 0.256, 0.500), I at (0.084, 0.250, 0.806) and I at (0.211, 0.000, 0.254).

The calculation puts the density at 4872 kg/m3. The value obtained for the total energy is -60.3 eV per cell. The value obtained for the total magnetization is 0.000 μB per atom.